# La2CoAu | the Alexandria database | PBEsol | optimized geometry
data_La2CoAu
_cell_length_a 4.353
_cell_length_b 4.136
_cell_length_c 10.474
_cell_angle_alpha 90.00
_cell_angle_beta 90.00
_cell_angle_gamma 90.00
_symmetry_space_group_name_H-M 'A m m 2'
_symmetry_Int_Tables_number 38
_symmetry_space_group_name_Hall 'A 2 -2'
loop_
_atom_site_label
_atom_site_type_symbol
_atom_site_fract_x
_atom_site_fract_y
_atom_site_fract_z
La1 La 0.000 0.000 0.000
La2 La 0.500 0.000 0.296
Co1 Co 0.500 0.000 0.529
Au1 Au 0.000 0.000 0.708
# * energy relative to the elements: -0.368 eV/atom
# * total DFT energy (no corrections): -5.956 eV/atom